No. 1
Compound: Er3Sb2N
Source: OQMD via LeMat-Bulk
Functional: PBE
Structure: optimized geometry

V   22.99 Å³ per atom
Energy   -36.431 eV for the cell shown
M_tot   0.00 μB per cell
Space group   No. 164

Lattice parameters (Å, degrees): 3.8849 3.8849 10.5519 90.00 90.00 120.00
Last column: nearest neighbours and their distance in Å.
Sites, in units of the cell vectors:
Er (0.0000, 0.0000, 0.0000)  6 Sb 2.99
Er (0.3333, 0.6667, 0.6190)  3 N 2.57
Er (0.6667, 0.3333, 0.3810)  3 N 2.57
Sb (0.3333, 0.6667, 0.1874)  6 Er 2.99-3.03
Sb (0.6667, 0.3333, 0.8126)  6 Er 2.99-3.03
N (0.0000, 0.0000, 0.5000)  6 Er 2.57



No. 2
Compound: CuGe2Ir
Source: OQMD via LeMat-Bulk
Functional: PBE
Structure: optimized geometry

V   15.39 Å³ per atom
Energy   -20.741 eV for the cell shown
M_tot   0.00 μB per cell
Space group   No. 216

Lattice parameters (Å, degrees): 4.4317 4.4317 4.4317 60.00 60.00 60.00
Last column: nearest neighbours and their distance in Å.
Sites, in units of the cell vectors:
Cu (0.0000, 0.0000, 0.0000)  4 Ge 2.71, 4 Ir 2.71
Ge (0.5000, 0.5000, 0.5000)  4 Ge 2.71, 4 Ir 2.71
Ge (0.7500, 0.7500, 0.7500)  4 Ge 2.71, 4 Cu 2.71
Ir (0.2500, 0.2500, 0.2500)  4 Ge 2.71, 4 Cu 2.71



No. 3
Compound: NaInAsIr
Source: OQMD via LeMat-Bulk
Functional: PBE
Structure: optimized geometry

V   17.77 Å³ per atom
Energy   -17.568 eV for the cell shown
M_tot   0.00 μB per cell
Space group   No. 216

Lattice parameters (Å, degrees): 4.6501 4.6501 4.6501 60.00 60.00 60.00
Last column: nearest neighbours and their distance in Å.
Sites, in units of the cell vectors:
Na (0.0000, 0.0000, 0.0000)  4 In 2.85, 4 As 2.85
In (0.7500, 0.7500, 0.7500)  4 Na 2.85, 4 Ir 2.85
As (0.2500, 0.2500, 0.2500)  4 Ir 2.85, 4 Na 2.85
Ir (0.5000, 0.5000, 0.5000)  4 In 2.85, 4 As 2.85



No. 4
Compound: ZnFeHgIr
Source: OQMD via LeMat-Bulk
Functional: PBE
Structure: optimized geometry

V   15.59 Å³ per atom
Energy   -17.520 eV for the cell shown
M_tot   3.08 μB per cell
Formation enthalpy at 0 K   1.2 eV/f.u.
Space group   No. 216

Lattice parameters (Å, degrees): 4.4509 4.4509 4.4509 60.00 60.00 60.00
Last column: nearest neighbours and their distance in Å.
Sites, in units of the cell vectors:
Zn (0.0000, 0.0000, 0.0000)  4 Hg 2.73, 4 Fe 2.73
Fe (0.2500, 0.2500, 0.2500)  4 Ir 2.73, 4 Zn 2.73
Hg (0.7500, 0.7500, 0.7500)  4 Ir 2.73, 4 Zn 2.73
Ir (0.5000, 0.5000, 0.5000)  4 Hg 2.73, 4 Fe 2.73



No. 5
Compound: ZnCdPbSe3
Source: OQMD via LeMat-Bulk
Functional: PBE
Structure: optimized geometry

V   26.04 Å³ per atom
Energy   -37.304 eV for the cell shown
Space group   No. 63

Lattice parameters (Å, degrees): 7.2650 7.2650 11.2683 90.00 90.00 148.31
Last column: nearest neighbours and their distance in Å.
Sites, in units of the cell vectors:
Zn (0.0000, 0.0000, 0.0000)  4 Se 2.67
Zn (0.0000, 0.0000, 0.5000)  4 Se 2.67
Cd (0.4965, 0.5035, 0.7500)  4 Se 2.64-2.65
Cd (0.5035, 0.4965, 0.2500)  4 Se 2.64-2.65
Pb (0.2194, 0.7806, 0.2500)  6 Se 2.98-3.23
Pb (0.7806, 0.2194, 0.7500)  6 Se 2.98-3.23
Se (0.1213, 0.8787, 0.7500)  2 Cd 2.64
Se (0.3827, 0.6173, 0.5620)  1 Cd 2.65, 2 Zn 2.67
Se (0.3827, 0.6173, 0.9380)  1 Cd 2.65, 2 Zn 2.67
Se (0.6173, 0.3827, 0.0620)  1 Cd 2.65, 2 Zn 2.67
Se (0.6173, 0.3827, 0.4380)  1 Cd 2.65, 2 Zn 2.67
Se (0.8787, 0.1213, 0.2500)  2 Cd 2.64



No. 6
Compound: Ni15Te
Source: OQMD via LeMat-Bulk
Functional: PBE
Structure: optimized geometry

V   18.17 Å³ per atom
Energy   -172.334 eV for the cell shown
M_tot   10.55 μB per cell
Space group   No. 13

Lattice parameters (Å, degrees): 4.2861 33.4908 4.2861 90.00 109.09 90.00
Last column: nearest neighbours and their distance in Å.
Sites, in units of the cell vectors:
Ni (0.0000, 0.0184, 0.2500)  12 Ni 2.46-2.49
Ni (0.0000, 0.0552, 0.7500)  12 Ni 2.46-2.49
Ni (0.0000, 0.0919, 0.2500)  12 Ni 2.46-2.49
Ni (0.0000, 0.1289, 0.7500)  12 Ni 2.46-2.49
Ni (0.0000, 0.1658, 0.2500)  12 Ni 2.47-2.52
Ni (0.0000, 0.2024, 0.7500)  12 Ni 2.44-2.51
Ni (0.0000, 0.2411, 0.2500)  9 Ni 2.43-2.52, 2 Te 2.65
Ni (0.0000, 0.2752, 0.7500)  5 Ni 2.43-2.44, 2 Te 2.52
Ni (0.0000, 0.7248, 0.2500)  5 Ni 2.43-2.44, 2 Te 2.52
Ni (0.0000, 0.7589, 0.7500)  9 Ni 2.43-2.52, 2 Te 2.65
Ni (0.0000, 0.7976, 0.2500)  12 Ni 2.44-2.51
Ni (0.0000, 0.8342, 0.7500)  12 Ni 2.47-2.52
Ni (0.0000, 0.8711, 0.2500)  12 Ni 2.46-2.49
Ni (0.0000, 0.9081, 0.7500)  12 Ni 2.46-2.49
Ni (0.0000, 0.9448, 0.2500)  12 Ni 2.46-2.49
Ni (0.0000, 0.9816, 0.7500)  12 Ni 2.46-2.49
Ni (0.5000, 0.0184, 0.7500)  12 Ni 2.46-2.49
Ni (0.5000, 0.0552, 0.2500)  12 Ni 2.46-2.49
Ni (0.5000, 0.0920, 0.7500)  12 Ni 2.46-2.49
Ni (0.5000, 0.1290, 0.2500)  12 Ni 2.47-2.49
Ni (0.5000, 0.1658, 0.7500)  12 Ni 2.47-2.52
Ni (0.5000, 0.2031, 0.2500)  11 Ni 2.48-2.49
Ni (0.5000, 0.2411, 0.7500)  9 Ni 2.43-2.52, 2 Te 2.65
Ni (0.5000, 0.7589, 0.2500)  9 Ni 2.43-2.52, 2 Te 2.65
Ni (0.5000, 0.7969, 0.7500)  11 Ni 2.48-2.49
Ni (0.5000, 0.8342, 0.2500)  12 Ni 2.47-2.52
Ni (0.5000, 0.8710, 0.7500)  12 Ni 2.47-2.49
Ni (0.5000, 0.9080, 0.2500)  12 Ni 2.46-2.49
Ni (0.5000, 0.9448, 0.7500)  12 Ni 2.46-2.49
Ni (0.5000, 0.9816, 0.2500)  12 Ni 2.46-2.49
Te (0.5000, 0.2876, 0.2500)  6 Ni 2.52-2.65
Te (0.5000, 0.7124, 0.7500)  6 Ni 2.52-2.65



The highest energy belongs to which entry?
ZnFeHgIr